MoAs2POs | PBE | optimized geometry

Output
Theoretical density   8408 kg/m³
Offset from the most stable computed form   277 meV per atom
Formation energy   32.835 kcal/mol of atoms
Uncorrected energy   -29.65 eV/cell

Unit cell a=4.5786 b=4.5786 c=4.3995 alpha=90.00 beta=90.00 gamma=90.00
Space group P4/mmm (No. 123)
Asymmetric unit:
Mo  0.0000  0.0000  0.0000
As  0.0000  0.5000  0.5000
P  0.0000  0.0000  0.5000
Os  0.5000  0.5000  0.0000